(1)
A geometry-optimized EuY2Al structure, computed with PBE.

## Properties
ΔE_f   -42 kJ/mol of formula units
Relative energy among the computed polymorphs   0.055 eV/atom

```
data_EuY2Al
_symmetry_space_group_name_H-M 'P 4/m m m'
_symmetry_Int_Tables_number 123
_symmetry_space_group_name_Hall '-P 4 2'
_cell_length_a 4.908
_cell_length_b 4.908
_cell_length_c 4.729
_cell_angle_alpha 90.00
_cell_angle_beta 90.00
_cell_angle_gamma 90.00
loop_
_atom_site_label
_atom_site_type_symbol
_atom_site_fract_x
_atom_site_fract_y
_atom_site_fract_z
Eu1 Eu 0.000 0.000 0.000
Y1 Y 0.000 0.500 0.500
Al1 Al 0.500 0.500 0.000
```



(2)
A geometry-optimized HfCuO3 structure, computed with PBE.

## Properties
E_form (uncorrected)   -1154.1 meV/atom

```
data_HfCuO3
_symmetry_space_group_name_H-M 'P m -3 m'
_symmetry_Int_Tables_number 221
_symmetry_space_group_name_Hall '-P 4 2 3'
_cell_length_a 3.697
_cell_length_b 3.697
_cell_length_c 3.697
_cell_angle_alpha 90.00
_cell_angle_beta 90.00
_cell_angle_gamma 90.00
loop_
_atom_site_label
_atom_site_type_symbol
_atom_site_fract_x
_atom_site_fract_y
_atom_site_fract_z
Hf1 Hf 0.000 0.000 0.000
Cu1 Cu 0.500 0.500 0.500
O1 O 0.000 0.500 0.500
```



(3)
A geometry-optimized SrPd2F8 structure, computed with PBE.

## Properties
E_form (uncorrected)   -1738.2 meV/atom
Relative energy among the computed polymorphs   0.206 eV/atom

```
data_SrPd2F8
_symmetry_space_group_name_H-M 'P 4/m m m'
_symmetry_Int_Tables_number 123
_symmetry_space_group_name_Hall '-P 4 2'
_cell_length_a 5.220
_cell_length_b 5.220
_cell_length_c 5.916
_cell_angle_alpha 90.00
_cell_angle_beta 90.00
_cell_angle_gamma 90.00
loop_
_atom_site_label
_atom_site_type_symbol
_atom_site_fract_x
_atom_site_fract_y
_atom_site_fract_z
Sr1 Sr 0.000 0.000 0.000
Pd1 Pd 0.000 0.500 0.500
F1 F 0.250 0.250 0.287
```



(4)
A geometry-optimized Zn2TcCl structure, computed with PBE.

## Properties
E_form (uncorrected)   364.4 meV/atom
Relative energy among the computed polymorphs   0.323 eV/atom

```
data_Zn2TcCl
_symmetry_space_group_name_H-M 'P m m 2'
_symmetry_Int_Tables_number 25
_cell_length_a 3.206
_cell_length_b 3.541
_cell_length_c 6.164
_cell_angle_alpha 90.00
_cell_angle_beta 90.00
_cell_angle_gamma 90.00
loop_
_symmetry_equiv_pos_as_xyz
'x,y,z'
'-x,-y,z'
'-x,y,z'
'x,-y,z'
loop_
_atom_site_label
_atom_site_type_symbol
_atom_site_fract_x
_atom_site_fract_y
_atom_site_fract_z
Zn1 Zn 0.000 0.000 0.000
Zn2 Zn 0.500 0.500 0.247
Tc1 Tc 0.500 0.500 0.838
Cl1 Cl 0.000 0.000 0.499
```



Number 1: magnetic moment 7.61 μB per formula unit. Number 2: magnetic moment 0.00 μB per formula unit. Number 3: magnetic moment 6.01 μB per formula unit. Number 4: magnetic moment 1.78 μB per formula unit.